w:
# Ba3Mn5

A relaxed Ba3Mn5 crystal (PBE, the Alexandria database).

Properties
Size of the total moment   19.32 Bohr magnetons per cell
Volume   224.4 Å³/cell
Space group   No. 65

a = 6.713 Å, b = 6.713 Å, c = 5.334 Å
α = 90.00°, β = 90.00°, γ = 111.02°
Sites, in units of the cell vectors:
Ba 0.000 0.000 0.000
Ba 0.240 0.760 0.500
Ba 0.760 0.240 0.500
Mn 0.000 0.500 0.000
Mn 0.322 0.322 0.500
Mn 0.500 0.000 0.000
Mn 0.500 0.500 0.000
Mn 0.678 0.678 0.500

x:
# Ba3Mn5

A relaxed Ba3Mn5 crystal (PBE, the Alexandria database).

Properties
Size of the total moment   13.58 Bohr magnetons per cell
Volume   447.5 Å³/cell
Space group   No. 193

a = 11.069 Å, b = 11.069 Å, c = 4.218 Å
α = 90.00°, β = 90.00°, γ = 120.00°
Sites, in units of the cell vectors:
Ba 0.000 0.353 0.250
Ba 0.000 0.647 0.750
Ba 0.353 0.000 0.250
Ba 0.353 0.353 0.750
Ba 0.647 0.000 0.750
Ba 0.647 0.647 0.250
Mn 0.000 0.115 0.750
Mn 0.000 0.885 0.250
Mn 0.115 0.000 0.750
Mn 0.115 0.115 0.250
Mn 0.333 0.667 0.000
Mn 0.333 0.667 0.500
Mn 0.667 0.333 0.000
Mn 0.667 0.333 0.500
Mn 0.885 0.000 0.250
Mn 0.885 0.885 0.750

In terms of stability, x leads; the second structure lies 135 meV/atom higher.

w:
# Ba3Mn2

A relaxed Ba3Mn2 crystal (PBE, the Alexandria database).

Properties
Size of the total moment   7.14 Bohr magnetons per cell
Volume   203.8 Å³/cell
Space group   No. 164

a = 5.710 Å, b = 5.710 Å, c = 7.217 Å
α = 90.00°, β = 90.00°, γ = 120.00°
Sites, in units of the cell vectors:
Ba 0.000 0.000 0.000
Ba 0.333 0.667 0.339
Ba 0.667 0.333 0.661
Mn 0.333 0.667 0.871
Mn 0.667 0.333 0.129

x:
# Ba3Mn2

A relaxed Ba3Mn2 crystal (PBE, the Alexandria database).

Properties
Size of the total moment   7.05 Bohr magnetons per cell
Volume   212.9 Å³/cell
Space group   No. 166

a = 13.659 Å, b = 13.659 Å, c = 13.659 Å
α = 18.02°, β = 18.02°, γ = 18.02°
Sites, in units of the cell vectors:
Ba 0.000 0.000 0.000
Ba 0.217 0.217 0.217
Ba 0.783 0.783 0.783
Mn 0.393 0.393 0.393
Mn 0.607 0.607 0.607

In terms of stability, w leads; the second structure lies 103 meV/atom higher.

w:
# BaMnMo2

A relaxed BaMnMo2 crystal (PBE, the Alexandria database).

Properties
Size of the total moment   0.26 Bohr magnetons per cell
Volume   93.9 Å³/cell
Space group   No. 44

a = 7.675 Å, b = 7.675 Å, c = 7.675 Å
α = 155.28°, β = 150.17°, γ = 39.12°
Sites, in units of the cell vectors:
Ba 0.000 0.000 0.000
Mn 0.214 0.714 0.500
Mo 0.326 0.326 0.000
Mo 0.707 0.207 0.500

x:
# BaMnMo2

A relaxed BaMnMo2 crystal (PBE, the Alexandria database).

Properties
Size of the total moment   3.62 Bohr magnetons per cell
Volume   87.2 Å³/cell
Space group   No. 160

a = 9.822 Å, b = 9.822 Å, c = 9.822 Å
α = 18.94°, β = 18.94°, γ = 18.94°
Sites, in units of the cell vectors:
Ba 0.000 0.000 0.000
Mn 0.769 0.769 0.769
Mo 0.230 0.230 0.230
Mo 0.504 0.504 0.504

In terms of stability, x leads; the second structure lies 38 meV/atom higher.